Entry from the Alexandria database: a geometry-optimized Fe2HgO structure (PBE+U).

a b c (Å): 4.410 4.410 4.410
angles (deg): 60.00 60.00 60.00
Last column: magnetic moment on the atom in μB.
Atoms (fractional coordinates):
Hg 0.500 0.500 0.500  -0.02
O 0.000 0.000 0.000  -0.08
Fe 0.250 0.250 0.250  3.29
Fe 0.750 0.750 0.750  3.29

Values from the calculation:
Final energy   -3.55 eV per atom
Space group   Fm-3m, No. 225
Polymorph energy (0 for the lowest one)   870 meV/atom